The following is a DFT calculation (PBE with a Hubbard U) of a relaxed BeVCoO crystal.

a = 4.579 Å, b = 2.633 Å, c = 6.707 Å
α = 90.00°, β = 103.23°, γ = 90.00°
Fractional positions:
Be  0.000  0.000  0.000
Be  0.500  0.500  0.000
V  0.208  0.000  0.627
V  0.708  0.500  0.627
Co  0.270  0.500  0.302
Co  0.770  0.000  0.302
O  0.124  0.500  0.873
O  0.624  0.000  0.873

Polymorph energy (0 for the lowest one) = 0.1370 eV/atom
Uncorrected energy = -22.59 eV/f.u.
DOS(E_F) = 4.339 states/eV per cell